The following is a DFT calculation (GGA-PBE) of a geometry-optimized ScSbMoSe2 structure.

The total energy comes out at -5.5367 eV/atom. The calculation puts the uncorrected formation energy at 0.11 eV per atom. Its space group is P4/mmm, No. 123.

Unit cell a=4.786 b=4.786 c=5.509 alpha=90.00 beta=90.00 gamma=90.00
Fractional coordinates of all 5 atoms:
1 Sc 0.000 0.000 0.000
2 Sb 0.500 0.500 0.000
3 Mo 0.000 0.000 0.500
4 Se 0.000 0.500 0.500
5 Se 0.500 0.000 0.500